1.
# BiRuPb3

An optimized crystal structure of BiRuPb3 (GGA-PBE, Alexandria).

Properties
Symmetry ... Pm-3m (221)
Energy above the lowest structure with this stoichiometry ... 0 meV per atom

Cell: 5.313 5.313 5.313 Å, 90.00 90.00 90.00°
Positions (direct):
Pb 0.000 0.500 0.000
Pb 0.000 0.000 0.500
Pb 0.500 0.000 0.000
Ru 0.000 0.000 0.000
Bi 0.500 0.500 0.500

***

2.
# BiRu2Pb

An optimized crystal structure of BiRu2Pb (GGA-PBE, Alexandria).

Properties
Symmetry ... I-42d (122)
Energy above the lowest structure with this stoichiometry ... 560 meV per atom

Cell: 6.127 6.127 7.431 Å, 65.65 65.65 90.00°
Positions (direct):
Bi 0.750 0.250 0.500
Bi 0.000 0.000 0.000
Ru 0.875 0.879 0.750
Ru 0.121 0.625 0.250
Ru 0.375 0.371 0.750
Ru 0.629 0.125 0.250
Pb 0.250 0.750 0.500
Pb 0.500 0.500 0.000

***

3.
# BiRuPb

An optimized crystal structure of BiRuPb (GGA-PBE, Alexandria).

Properties
Symmetry ... P2_1/c (14)

Cell: 6.638 6.941 6.345 Å, 90.00 87.82 90.00°
Positions (direct):
Ru 0.977 0.948 0.236
Ru 0.523 0.448 0.264
Ru 0.477 0.552 0.736
Ru 0.023 0.052 0.764
Pb 0.186 0.349 0.013
Pb 0.314 0.849 0.487
Pb 0.686 0.151 0.513
Pb 0.814 0.651 0.987
Bi 0.816 0.648 0.480
Bi 0.316 0.852 0.980
Bi 0.684 0.148 0.020
Bi 0.184 0.352 0.520

***

4.
# Bi3RuPb

An optimized crystal structure of Bi3RuPb (GGA-PBE, Alexandria).

Properties
Symmetry ... Pm-3m (221)
Energy above the lowest structure with this stoichiometry ... 0 meV per atom

Cell: 5.347 5.347 5.347 Å, 90.00 90.00 90.00°
Positions (direct):
Bi 0.000 0.000 0.500
Bi 0.500 0.000 0.000
Bi 0.000 0.500 0.000
Pb 0.500 0.500 0.500
Ru 0.000 0.000 0.000

***

5.
# BiRu2Pb

An optimized crystal structure of BiRu2Pb (GGA-PBE, Alexandria).

Properties
Symmetry ... Fm-3m (225)
Energy above the lowest structure with this stoichiometry ... 0 meV per atom

Cell: 4.762 4.762 4.762 Å, 60.00 60.00 60.00°
Last column: magnetic moment on the atom in μB.
Positions (direct):
Bi 0.500 0.500 0.500  0.00
Pb 0.000 0.000 0.000  0.00
Ru 0.250 0.250 0.250  0.07
Ru 0.750 0.750 0.750  0.07

***

6.
# SiBi2RuPb

An optimized crystal structure of SiBi2RuPb (GGA-PBE, Alexandria).

Properties
Symmetry ... P4/mmm (123)
Formation energy from raw total energies ... 1614 meV per atom

Cell: 5.851 5.061 5.851 Å, 90.00 90.00 90.00°
Last column: magnetic moment on the atom in μB.
Positions (direct):
Bi 0.500 0.000 0.000  0.01
Bi 0.000 0.000 0.500  0.01
Si 0.500 0.500 0.500  -0.04
Ru 0.000 0.500 0.000  1.40
Pb 0.000 0.000 0.000  -0.03

***

7.
# Zn2BiRuPb

An optimized crystal structure of Zn2BiRuPb (GGA-PBE, Alexandria).

Properties
Symmetry ... P4/mmm (123)

Cell: 4.932 5.149 4.932 Å, 90.00 90.00 90.00°
Positions (direct):
Ru 0.000 0.000 0.000
Zn 0.500 0.000 0.000
Zn 0.000 0.000 0.500
Pb 0.500 0.500 0.500
Bi 0.000 0.500 0.000

***

8.
# BiPb5S7

An optimized crystal structure of BiPb5S7 (GGA-PBE, Alexandria).

Properties
Symmetry ... P2_1/m (11)
Formation energy from raw total energies ... -418 meV per atom

Cell: 4.052 7.274 24.648 Å, 90.00 90.00 106.11°
Positions (direct):
S 0.814 0.628 0.819
S 0.909 0.818 0.108
S 0.582 0.162 0.750
S 0.091 0.184 0.608
S 0.909 0.817 0.391
S 0.635 0.269 0.461
S 0.366 0.731 0.538
S 0.366 0.732 0.962
S 0.092 0.184 0.892
S 0.813 0.627 0.681
S 0.635 0.270 0.038
S 0.187 0.374 0.319
S 0.187 0.374 0.181
S 0.419 0.839 0.250
Pb 0.733 0.465 0.923
Pb 0.732 0.464 0.577
Pb 0.470 0.940 0.847
Pb 0.530 0.061 0.347
Pb 0.000 0.001 0.000
Pb 0.268 0.536 0.423
Pb 0.531 0.061 0.153
Pb 0.470 0.940 0.653
Pb 0.268 0.537 0.077
Pb 0.000 0.000 0.500
Bi 0.778 0.556 0.250
Bi 0.222 0.445 0.750

***

9.
# Bi2PbS6

An optimized crystal structure of Bi2PbS6 (GGA-PBE, Alexandria).

Properties
Symmetry ... P2_1/c (14)
Formation energy from raw total energies ... -91 meV per atom

Cell: 7.688 7.769 9.131 Å, 90.00 84.61 90.00°
Positions (direct):
Bi 0.042 0.481 0.772
Bi 0.458 0.981 0.728
Bi 0.958 0.519 0.228
Bi 0.542 0.019 0.272
S 0.832 0.866 0.247
S 0.188 0.269 0.113
S 0.332 0.634 0.747
S 0.813 0.700 0.660
S 0.688 0.231 0.613
S 0.687 0.200 0.840
S 0.668 0.366 0.253
S 0.312 0.769 0.387
S 0.313 0.800 0.160
S 0.812 0.731 0.887
S 0.168 0.134 0.753
S 0.187 0.300 0.340
Pb 0.500 0.500 0.000
Pb 0.000 0.000 0.500

***

10.
# Bi2PbS

An optimized crystal structure of Bi2PbS (GGA-PBE, Alexandria).

Properties
Symmetry ... Fm-3m (225)
Formation energy from raw total energies ... 171 meV per atom
Energy above the lowest structure with this stoichiometry ... 35 meV per atom

Cell: 5.362 5.362 5.362 Å, 60.00 60.00 60.00°
Positions (direct):
S 0.000 0.000 0.000
Bi 0.250 0.250 0.250
Bi 0.750 0.750 0.750
Pb 0.500 0.500 0.500

***

11.
# BiPb2S

An optimized crystal structure of BiPb2S (GGA-PBE, Alexandria).

Properties
Symmetry ... Fm-3m (225)
Formation energy from raw total energies ... 32 meV per atom
Energy above the lowest structure with this stoichiometry ... 158 meV per atom

Cell: 5.425 5.425 5.425 Å, 60.00 60.00 60.00°
Positions (direct):
Pb 0.750 0.750 0.750
Pb 0.250 0.250 0.250
Bi 0.500 0.500 0.500
S 0.000 0.000 0.000

***

12.
# Bi5Pb3S12

An optimized crystal structure of Bi5Pb3S12 (GGA-PBE, Alexandria).

Properties
Symmetry ... Ia-3d (230)
Formation energy from raw total energies ... -195 meV per atom

Cell: 14.494 14.494 14.494 Å, 109.47 109.47 109.47°
Positions (direct):
Pb 0.250 0.625 0.875
Pb 0.875 0.125 0.250
Pb 0.750 0.375 0.125
Pb 0.625 0.375 0.750
Pb 0.750 0.875 0.625
Pb 0.875 0.750 0.125
Pb 0.625 0.250 0.375
Pb 0.125 0.250 0.875
Pb 0.125 0.875 0.750
Pb 0.375 0.750 0.625
Pb 0.375 0.625 0.250
Pb 0.250 0.125 0.375
Bi 0.625 0.875 0.250
Bi 0.000 0.500 0.000
Bi 0.500 0.500 0.500
Bi 0.875 0.250 0.625
Bi 0.750 0.125 0.875
Bi 0.125 0.750 0.375
Bi 0.000 0.000 0.000
Bi 0.250 0.375 0.625
Bi 0.500 0.000 0.500
Bi 0.125 0.375 0.250
Bi 0.875 0.625 0.750
Bi 0.625 0.750 0.875
Bi 0.000 0.000 0.500
Bi 0.500 0.500 0.000
Bi 0.375 0.125 0.750
Bi 0.375 0.250 0.125
Bi 0.250 0.875 0.125
Bi 0.000 0.500 0.500
Bi 0.500 0.000 0.000
Bi 0.750 0.625 0.375
S 0.629 0.586 0.912
S 0.129 0.717 0.543
S 0.371 0.957 0.783
S 0.914 0.088 0.871
S 0.283 0.412 0.826
S 0.914 0.826 0.543
S 0.129 0.412 0.086
S 0.674 0.457 0.586
S 0.414 0.043 0.326
S 0.717 0.129 0.043
S 0.371 0.414 0.088
S 0.043 0.414 0.826
S 0.543 0.326 0.914
S 0.043 0.629 0.717
S 0.412 0.129 0.586
S 0.086 0.912 0.129
S 0.588 0.871 0.414
S 0.086 0.174 0.457
S 0.217 0.543 0.629
S 0.871 0.588 0.914
S 0.629 0.043 0.217
S 0.783 0.457 0.371
S 0.088 0.174 0.217
S 0.912 0.826 0.783
S 0.586 0.629 0.412
S 0.586 0.957 0.674
S 0.217 0.674 0.088
S 0.871 0.283 0.457
S 0.174 0.088 0.717
S 0.543 0.217 0.129
S 0.783 0.326 0.912
S 0.826 0.914 0.043
S 0.457 0.783 0.871
S 0.674 0.217 0.588
S 0.457 0.674 0.086
S 0.957 0.371 0.283
S 0.326 0.783 0.412
S 0.826 0.912 0.283
S 0.326 0.543 0.414
S 0.412 0.283 0.326
S 0.912 0.086 0.629
S 0.414 0.371 0.588
S 0.588 0.717 0.674
S 0.174 0.086 0.957
S 0.088 0.914 0.371
S 0.283 0.871 0.957
S 0.957 0.586 0.174
S 0.717 0.588 0.174

***

13.
# Bi2Pb2S5

An optimized crystal structure of Bi2Pb2S5 (GGA-PBE, Alexandria).

Properties
Symmetry ... C2/m (12)
Formation energy from raw total energies ... -286 meV per atom

Cell: 4.571 9.054 7.101 Å, 95.79 90.00 104.62°
Positions (direct):
S 0.317 0.634 0.902
S 0.683 0.366 0.098
S 0.000 0.000 0.000
S 0.116 0.232 0.519
S 0.884 0.768 0.481
Bi 0.149 0.298 0.887
Bi 0.851 0.702 0.113
Pb 0.442 0.883 0.694
Pb 0.558 0.117 0.306

***

14.
# BiPb2S

An optimized crystal structure of BiPb2S (GGA-PBE, Alexandria).

Properties
Symmetry ... I-42d (122)
Formation energy from raw total energies ... 24 meV per atom
Energy above the lowest structure with this stoichiometry ... 150 meV per atom

Cell: 6.621 6.621 8.762 Å, 67.80 67.80 90.00°
Positions (direct):
Pb 0.583 0.125 0.250
Pb 0.875 0.833 0.750
Pb 0.375 0.417 0.750
Pb 0.167 0.625 0.250
Bi 0.000 0.000 0.000
Bi 0.750 0.250 0.500
S 0.250 0.750 0.500
S 0.500 0.500 0.000

***

15.
# BiPb2S

An optimized crystal structure of BiPb2S (GGA-PBE, Alexandria).

Properties
Symmetry ... R3m (160)
Formation energy from raw total energies ... -126 meV per atom
Energy above the lowest structure with this stoichiometry ... 0 meV per atom

Cell: 4.016 4.016 9.232 Å, 77.44 77.44 60.00°
Positions (direct):
Bi 0.504 0.504 0.488
S 0.673 0.673 0.980
Pb 0.257 0.257 0.230
Pb 0.066 0.066 0.803

***

16.
# Bi3PbS6

An optimized crystal structure of Bi3PbS6 (GGA-PBE, Alexandria).

Properties
Symmetry ... P2_1/m (11)
Formation energy from raw total energies ... -296 meV per atom
Energy above the lowest structure with this stoichiometry ... 0 meV per atom

Cell: 4.039 11.839 11.754 Å, 108.91 90.00 90.00°
Positions (direct):
S 0.750 0.798 0.747
S 0.250 0.610 0.937
S 0.250 0.268 0.739
S 0.250 0.526 0.384
S 0.750 0.390 0.063
S 0.750 0.119 0.474
S 0.250 0.202 0.253
S 0.750 0.926 0.096
S 0.250 0.074 0.904
S 0.750 0.474 0.616
S 0.250 0.881 0.526
S 0.750 0.732 0.261
Bi 0.750 0.443 0.838
Bi 0.250 0.557 0.162
Bi 0.250 0.847 0.910
Bi 0.750 0.691 0.472
Bi 0.250 0.309 0.528
Bi 0.750 0.153 0.090
Pb 0.750 0.028 0.683
Pb 0.250 0.972 0.317

***

17.
# Bi4PbS6

An optimized crystal structure of Bi4PbS6 (GGA-PBE, Alexandria).

Properties
Symmetry ... Cmcm (63)
Formation energy from raw total energies ... -292 meV per atom

Cell: 4.209 7.318 19.797 Å, 90.00 90.00 106.71°
Positions (direct):
S 0.030 0.060 0.161
S 0.970 0.940 0.839
S 0.970 0.940 0.661
S 0.500 0.000 0.000
S 0.238 0.476 0.912
S 0.702 0.405 0.750
S 0.030 0.060 0.339
S 0.762 0.524 0.088
S 0.762 0.524 0.412
S 0.500 0.000 0.500
S 0.238 0.476 0.588
S 0.298 0.595 0.250
Pb 0.341 0.681 0.750
Pb 0.659 0.319 0.250
Bi 0.867 0.734 0.954
Bi 0.398 0.797 0.131
Bi 0.867 0.734 0.546
Bi 0.602 0.203 0.869
Bi 0.133 0.266 0.454
Bi 0.133 0.266 0.046
Bi 0.602 0.203 0.631
Bi 0.398 0.797 0.369

***

18.
# Bi2PbS3

An optimized crystal structure of Bi2PbS3 (GGA-PBE, Alexandria).

Properties
Symmetry ... Cmcm (63)
Formation energy from raw total energies ... -44 meV per atom

Cell: 7.936 7.193 7.193 Å, 66.91 90.00 90.00°
Positions (direct):
Bi 0.500 0.172 0.172
Bi 0.500 0.828 0.828
Bi 0.000 0.828 0.828
Bi 0.000 0.172 0.172
S 0.750 0.645 0.710
S 0.250 0.355 0.290
S 0.750 0.070 0.930
S 0.750 0.290 0.355
S 0.250 0.710 0.645
S 0.250 0.930 0.070
Pb 0.250 0.297 0.703
Pb 0.750 0.703 0.297

***

19.
# Bi4Pb3S8

An optimized crystal structure of Bi4Pb3S8 (GGA-PBE, Alexandria).

Properties
Symmetry ... C2/m (12)
Formation energy from raw total energies ... -340 meV per atom

Cell: 8.261 8.333 8.333 Å, 90.65 119.14 119.14°
Positions (direct):
S 0.000 0.241 0.759
S 0.000 0.759 0.241
S 0.987 0.238 0.238
S 0.521 0.766 0.766
S 0.013 0.762 0.762
S 0.500 0.245 0.755
S 0.479 0.234 0.234
S 0.500 0.755 0.245
Bi 0.500 0.000 0.000
Bi 0.000 0.000 0.500
Bi 0.000 0.000 0.000
Bi 0.000 0.500 0.000
Pb 0.500 0.500 0.500
Pb 0.500 0.500 0.000
Pb 0.500 0.000 0.500

***

Number 1: total DFT energy (no corrections) -4.62 eV per atom. Number 2: total DFT energy (no corrections) -5.48 eV per atom. Number 3: total DFT energy (no corrections) -5.27 eV per atom. Number 4: total DFT energy (no corrections) -4.52 eV per atom. Number 5: total DFT energy (no corrections) -6.04 eV per atom. Number 6: total DFT energy (no corrections) -3.62 eV per atom. Number 7: total DFT energy (no corrections) -3.56 eV per atom. Number 8: total DFT energy (no corrections) -4.36 eV per atom. Number 9: total DFT energy (no corrections) -4.12 eV per atom. Number 10: total DFT energy (no corrections) -3.73 eV per atom. Number 11: total DFT energy (no corrections) -3.82 eV per atom. Number 12: total DFT energy (no corrections) -4.20 eV per atom. Number 13: total DFT energy (no corrections) -4.27 eV per atom. Number 14: total DFT energy (no corrections) -3.83 eV per atom. Number 15: total DFT energy (no corrections) -3.98 eV per atom. Number 16: total DFT energy (no corrections) -4.31 eV per atom. Number 17: total DFT energy (no corrections) -4.29 eV per atom. Number 18: total DFT energy (no corrections) -4.02 eV per atom. Number 19: total DFT energy (no corrections) -4.32 eV per atom.